VASP calculation (PBE) on crystalline SrRh2F11 at its relaxed geometry.

Summary:
The calculation puts the total energy at -4.606 eV/atom. The crystal system is orthorhombic. The value obtained for the energy relative to the elements, uncorrected is -189.6 kJ/mol of atoms. The space group is Ibam, No. 72.

Lattice parameters (Å, degrees): 9.0787 8.3823 8.3823 65.77 57.21 57.21
Atoms (fractional coordinates):
F 0.1994 0.1991 0.8009
F 0.1077 0.5724 0.6803
F 0.6797 0.6396 0.1077
F 0.3923 0.8197 0.9276
F 0.0000 0.0000 0.0000
F 0.8203 0.3923 0.8604
F 0.8923 0.4276 0.3197
F 0.6077 0.1803 0.0724
F 0.1396 0.0724 0.1803
F 0.1797 0.6077 0.1396
F 0.8604 0.9276 0.8197
F 0.9270 0.8604 0.3923
F 0.6994 0.3009 0.6991
F 0.6396 0.6803 0.5724
F 0.8006 0.8009 0.1991
F 0.3203 0.3604 0.8923
F 0.4270 0.8923 0.3604
F 0.3604 0.3197 0.4276
F 0.5000 0.5000 0.5000
F 0.0730 0.1396 0.6077
F 0.3006 0.6991 0.3009
F 0.5730 0.1077 0.6396
Sr 0.7500 0.7500 0.7500
Sr 0.2500 0.2500 0.2500
Rh 0.8436 0.1567 0.8433
Rh 0.1564 0.8433 0.1567
Rh 0.3436 0.3433 0.6567
Rh 0.6564 0.6567 0.3433

---

VASP calculation (PBE) on crystalline Sr2CuSi4Ir3 at its relaxed geometry.

Summary:
The calculation puts the total energy at -6.229 eV/atom. The crystal system is tetragonal. The value obtained for the energy relative to the elements, uncorrected is -63.2 kJ/mol of atoms. The space group is P-4m2, No. 115.

Lattice parameters (Å, degrees): 4.2482 4.2482 9.9565 90.00 90.00 90.00
Atoms (fractional coordinates):
Si 0.5000 0.0000 0.6247
Si 0.5000 0.5000 0.0000
Si 0.0000 0.5000 0.3753
Si 0.0000 0.0000 0.0000
Ir 0.0000 0.0000 0.5000
Ir 0.0000 0.5000 0.1235
Ir 0.5000 0.0000 0.8765
Cu 0.5000 0.5000 0.5000
Sr 0.5000 0.0000 0.2490
Sr 0.0000 0.5000 0.7510

---

VASP calculation (PBE) on crystalline KPuTeCl2 at its relaxed geometry.

Summary:
The calculation puts the total energy at -6.065 eV/atom. The crystal system is orthorhombic. The value obtained for the energy relative to the elements, uncorrected is -155.5 kJ/mol of atoms. The space group is Cmcm, No. 63.

Lattice parameters (Å, degrees): 4.5114 8.8907 8.7516 90.00 90.00 104.70
Atoms (fractional coordinates):
K 0.7158 0.4317 0.7500
K 0.2842 0.5683 0.2500
Te 0.5079 0.0159 0.2500
Te 0.4921 0.9841 0.7500
Cl 0.1562 0.3125 0.5185
Cl 0.8438 0.6875 0.4815
Cl 0.8438 0.6875 0.0185
Cl 0.1562 0.3125 0.9815
Pu 0.0000 0.0000 0.0000
Pu 0.0000 0.0000 0.5000

---

VASP calculation (PBE) on crystalline LaTbPr14 at its relaxed geometry.

Summary:
The calculation puts the energy of formation at 0.01 eV/atom. The calculation puts the total energy at -4.768 eV/atom. The crystal system is orthorhombic. The space group is Amm2, No. 38.

Lattice parameters (Å, degrees): 7.4071 7.4071 10.5132 90.00 90.00 90.02
Atoms (fractional coordinates):
Pr 0.6263 0.8764 0.2489
Pr 0.6263 0.8764 0.7511
Pr 0.6266 0.3734 0.7511
Pr 0.3749 0.1248 0.5000
Pr 0.1234 0.8766 0.2489
Pr 0.8749 0.1251 0.5000
Pr 0.8752 0.6251 0.5000
Pr 0.1236 0.3737 0.7511
Pr 0.3752 0.6248 0.5000
Pr 0.3754 0.1253 0.0000
Pr 0.8747 0.6246 0.0000
Pr 0.1234 0.8766 0.7511
Pr 0.1236 0.3737 0.2489
Pr 0.6266 0.3734 0.2489
Tb 0.8754 0.1246 0.0000
La 0.3746 0.6254 0.0000

---

VASP calculation (PBE) on crystalline CaTaIn2 at its relaxed geometry.

Summary:
The calculation puts the energy of formation at -0.04 eV/atom. The calculation puts the total energy at -4.868 eV/atom. The crystal system is tetragonal. The space group is P4/mmm, No. 123.

Lattice parameters (Å, degrees): 3.1037 3.1038 9.3396 90.00 90.00 90.03
Atoms (fractional coordinates):
Ca 0.5000 0.5000 0.7500
In 0.0000 0.0000 0.4815
In 0.0000 0.0000 0.0185
Ta 0.5000 0.5000 0.2500

---

VASP calculation (PBE) on crystalline PaNb2Sb at its relaxed geometry.

Summary:
The calculation puts the energy relative to the lowest polymorph listed for this composition at 547 meV/atom. The calculation puts the total energy at -8.024 eV/atom. The crystal system is trigonal. The value obtained for the energy relative to the elements, uncorrected is 40.0 kJ/mol of atoms. The space group is R-3m, No. 166.

Lattice parameters (Å, degrees): 3.1231 3.1231 10.3747 81.34 81.34 60.00
Atoms (fractional coordinates):
Sb 0.5000 0.5000 0.5000
Nb 0.9078 0.9078 0.2766
Nb 0.0922 0.0922 0.7234
Pa 0.0000 0.0000 0.0000

---

VASP calculation (PBE) on crystalline KInN3 at its relaxed geometry.

Summary:
The calculation puts the total energy at -4.254 eV/atom. The crystal system is cubic. The value obtained for the energy relative to the elements, uncorrected is 145.5 kJ/mol of atoms. The space group is Pm-3m, No. 221.

Lattice parameters (Å, degrees): 4.4215 4.4215 4.4215 90.00 90.00 90.00
Atoms (fractional coordinates):
N 0.0000 0.5000 0.0000
N 0.0000 0.0000 0.5000
N 0.5000 0.0000 0.0000
In 0.0000 0.0000 0.0000
K 0.5000 0.5000 0.5000

---

VASP calculation (PBE) on crystalline IrIO2 at its relaxed geometry.

Summary:
The calculation puts the energy relative to the lowest polymorph listed for this composition at 0 meV/atom. The calculation puts the total energy at -5.363 eV/atom. The crystal system is trigonal. The value obtained for the energy relative to the elements, uncorrected is -27.1 kJ/mol of atoms. The space group is R-3m, No. 166.

Lattice parameters (Å, degrees): 8.5984 8.5984 8.5984 21.31 21.31 21.31
Atoms (fractional coordinates):
O 0.8684 0.8684 0.8684
O 0.1316 0.1316 0.1316
Ir 0.5000 0.5000 0.5000
I 0.0000 0.0000 0.0000

---

VASP calculation (PBE) on crystalline PuCoBr6 at its relaxed geometry.

Summary:
The calculation puts the total energy at -4.845 eV/atom. The crystal system is monoclinic. The value obtained for the energy relative to the elements, uncorrected is -87.9 kJ/mol of atoms. The space group is C2/m, No. 12.

Lattice parameters (Å, degrees): 7.3200 7.3200 6.5709 91.08 91.08 120.73
Atoms (fractional coordinates):
Br 0.9978 0.7108 0.7221
Br 0.2892 0.0022 0.2779
Br 0.7084 0.7084 0.2591
Br 0.7108 0.9978 0.7221
Br 0.2916 0.2916 0.7409
Br 0.0022 0.2892 0.2779
Co 0.0000 0.0000 0.5000
Pu 0.0000 0.0000 0.0000

---

VASP calculation (PBE) on crystalline HoSeF at its relaxed geometry.

Summary:
The calculation puts the total energy at -6.161 eV/atom. The crystal system is hexagonal. The value obtained for the energy relative to the elements, uncorrected is -275.0 kJ/mol of atoms. The space group is P-6m2, No. 187.

Lattice parameters (Å, degrees): 3.9966 3.9787 3.9787 120.00 90.00 90.00
Atoms (fractional coordinates):
F 0.1667 0.0000 0.0000
Ho 0.1666 0.6667 0.3333
Se 0.6667 0.3333 0.6667

---

VASP calculation (PBE) on crystalline Sr2ReAgSb at its relaxed geometry.

Summary:
The calculation puts the total energy at -3.893 eV/atom. The crystal system is tetragonal. The value obtained for the energy relative to the elements, uncorrected is 64.0 kJ/mol of atoms. The space group is P4/mmm, No. 123.

Lattice parameters (Å, degrees): 6.2349 4.9720 6.2349 90.00 90.00 90.00
Atoms (fractional coordinates):
Sr 0.0000 0.0000 0.5000
Sr 0.5000 0.0000 0.0000
Ag 0.5000 0.5000 0.5000
Re 0.0000 0.5000 0.0000
Sb 0.0000 0.0000 0.0000

---

VASP calculation (PBE) on crystalline VNi14P at its relaxed geometry.

Summary:
The calculation puts the energy of formation at -0.10 eV/atom. The calculation puts the total energy at -6.068 eV/atom. The crystal system is tetragonal. The space group is P4/mmm, No. 123.

Lattice parameters (Å, degrees): 5.0175 5.0175 6.9150 90.00 90.00 90.00
Atoms (fractional coordinates):
Ni 0.6274 0.6274 0.7455
Ni 0.6275 0.1225 0.2545
Ni 0.6275 0.1225 0.7455
Ni 0.1225 0.6275 0.2545
Ni 0.8750 0.3750 0.5000
Ni 0.3750 0.3750 0.0000
Ni 0.8750 0.8750 0.0000
Ni 0.6274 0.6274 0.2545
Ni 0.1226 0.1226 0.2545
Ni 0.8750 0.3750 0.0000
Ni 0.3750 0.8750 0.0000
Ni 0.3750 0.8750 0.5000
Ni 0.1225 0.6275 0.7455
Ni 0.1226 0.1226 0.7455
V 0.3750 0.3750 0.5000
P 0.8750 0.8750 0.5000

---

Please write out number 3 again, unchanged.
VASP calculation (PBE) on crystalline KPuTeCl2 at its relaxed geometry.

Summary:
The calculation puts the total energy at -6.065 eV/atom. The crystal system is orthorhombic. The value obtained for the energy relative to the elements, uncorrected is -155.5 kJ/mol of atoms. The space group is Cmcm, No. 63.

Lattice parameters (Å, degrees): 4.5114 8.8907 8.7516 90.00 90.00 104.70
Atoms (fractional coordinates):
K 0.7158 0.4317 0.7500
K 0.2842 0.5683 0.2500
Te 0.5079 0.0159 0.2500
Te 0.4921 0.9841 0.7500
Cl 0.1562 0.3125 0.5185
Cl 0.8438 0.6875 0.4815
Cl 0.8438 0.6875 0.0185
Cl 0.1562 0.3125 0.9815
Pu 0.0000 0.0000 0.0000
Pu 0.0000 0.0000 0.5000

---

Q: What is the formula in the eighth record?
A: IrIO2